*i*
HgS2 | PBE | relaxed

The value obtained for the volume is 1448 Å³ per cell.

It has space group Fd-3m (No. 227, origin choice 2), with a = 11.3138 Å, b = 11.3138 Å, c = 11.3138 Å, α = 90.00°, β = 90.00° and γ = 90.00°. The inequivalent atoms are Hg at (0.1250, 0.1250, 0.1250) and S at (0.0000, 0.0000, 0.0000).

---

*ii*
HgS2 | PBE | relaxed

The value obtained for the volume is 477 Å³ per cell.

It has space group Fd-3m (No. 227, origin choice 2), with a = 7.8128 Å, b = 7.8128 Å, c = 7.8128 Å, α = 90.00°, β = 90.00° and γ = 90.00°. The inequivalent atoms are Hg at (0.1250, 0.1250, 0.1250) and S at (0.0000, 0.0000, 0.5000).

---

Stability check: which of them is least stable? *i*.

---

*i*
ScTlHgS3 | PBE | relaxed

The value obtained for the volume is 619 Å³ per cell. As for the spin magnetization: 0.0 Bohr magnetons per cell.

It has space group Cmcm (No. 63), with a = 3.8919 Å, b = 15.2905 Å, c = 10.4055 Å, α = 90.00°, β = 90.00° and γ = 90.00°. The inequivalent atoms are Sc at (0.0000, 0.0000, 0.0000), Tl at (0.0000, 0.3097, 0.2500), Hg at (0.0000, 0.3928, 0.7500), S at (0.0000, 0.0415, 0.7500) and S at (0.0000, 0.3845, 0.5212).

---

*ii*
ScTlHgS3 | PBE | relaxed

The value obtained for the volume is 306 Å³ per cell. As for the spin magnetization: 0.0 Bohr magnetons per cell.

It has space group P2_1/m (No. 11), with a = 8.2685 Å, b = 3.9631 Å, c = 9.8694 Å, α = 90.00°, β = 108.94° and γ = 90.00°. The inequivalent atoms are Sc at (0.1738, 0.2500, 0.1296), Tl at (0.2633, 0.7500, 0.7644), Hg at (0.4226, 0.7500, 0.3781), S at (0.0323, 0.2500, 0.8619), S at (0.2484, 0.2500, 0.4308) and S at (0.3835, 0.7500, 0.1157).

---

Stability check: which of them is least stable? *ii*.

---

*i*
TbTlHg3S4 | PBE | relaxed

The value obtained for the volume is 578 Å³ per cell. As for the spin magnetization: 0.0 Bohr magnetons per cell.

It has space group P2_1/m (No. 11), with a = 6.4116 Å, b = 7.7292 Å, c = 11.6740 Å, α = 90.00°, β = 92.17° and γ = 90.00°. The inequivalent atoms are Tb at (0.1146, 0.2500, 0.2100), Tl at (0.4824, 0.2500, 0.6476), Hg at (0.1904, 0.0304, 0.9521), Hg at (0.3570, 0.7500, 0.6839), S at (0.1317, 0.0103, 0.7295), S at (0.3121, 0.2500, 0.4079) and S at (0.4479, 0.2500, 0.0560).

---

*ii*
TbTlHg3S4 | PBE | relaxed

The value obtained for the volume is 301 Å³ per cell. As for the spin magnetization: 0.0 Bohr magnetons per cell.

It has space group P-43m (No. 215), with a = 6.6997 Å, b = 6.6997 Å, c = 6.6997 Å, α = 90.00°, β = 90.00° and γ = 90.00°. The inequivalent atoms are Tb at (0.0000, 0.0000, 0.0000), Tl at (0.5000, 0.5000, 0.5000), Hg at (0.0000, 0.0000, 0.5000) and S at (0.2243, 0.2243, 0.7757).

---

Stability check: which of them is least stable? *ii*.

---

*i*
TmTlHgS3 | PBE | relaxed

The value obtained for the volume is 657 Å³ per cell. As for the spin magnetization: 0.0 Bohr magnetons per cell.

It has space group Pnma (No. 62), with a = 10.6262 Å, b = 4.0548 Å, c = 15.2513 Å, α = 90.00°, β = 90.00° and γ = 90.00°. The inequivalent atoms are Tm at (0.0110, 0.2500, 0.2503), Tl at (0.2390, 0.2500, 0.5605), Hg at (0.2386, 0.2500, 0.8550), S at (0.0148, 0.2500, 0.8695), S at (0.0376, 0.7500, 0.3709) and S at (0.2390, 0.7500, 0.7070).

---

*ii*
TmTlHgS3 | PBE | relaxed

The value obtained for the volume is 618 Å³ per cell. As for the spin magnetization: 0.0 Bohr magnetons per cell.

It has space group Pnma (No. 62), with a = 12.1352 Å, b = 4.0308 Å, c = 12.6254 Å, α = 90.00°, β = 90.00° and γ = 90.00°. The inequivalent atoms are Tm at (0.0447, 0.2500, 0.1537), Tl at (0.1351, 0.2500, 0.5337), Hg at (0.2474, 0.7500, 0.3213), S at (0.0423, 0.7500, 0.2991), S at (0.0862, 0.2500, 0.9343) and S at (0.2375, 0.7500, 0.6718).

---

*iii*
TmTlHgS3 | PBE | relaxed

The value obtained for the volume is 573 Å³ per cell. As for the spin magnetization: 0.0 Bohr magnetons per cell.

It has space group Pnma (No. 62), with a = 8.0562 Å, b = 4.4203 Å, c = 16.0767 Å, α = 90.00°, β = 90.00° and γ = 90.00°. The inequivalent atoms are Tm at (0.2231, 0.2500, 0.0355), Tl at (0.0633, 0.2500, 0.8062), Hg at (0.0800, 0.2500, 0.3448), S at (0.0088, 0.7500, 0.4234), S at (0.1237, 0.7500, 0.9569) and S at (0.2234, 0.2500, 0.2016).

---

Stability check: which of them is least stable? *iii*.

---

*i*
ThHgSb | PBE | relaxed

The value obtained for the volume is 401 Å³ per cell. As for the spin magnetization: 0.0 Bohr magnetons per cell.

It has space group F-43m (No. 216), with a = 7.3721 Å, b = 7.3721 Å, c = 7.3721 Å, α = 90.00°, β = 90.00° and γ = 90.00°. The inequivalent atoms are Th at (0.0000, 0.0000, 0.0000), Hg at (0.2500, 0.2500, 0.7500) and Sb at (0.2500, 0.2500, 0.2500).

---

*ii*
ThHgSb | PBE | relaxed

The value obtained for the volume is 368 Å³ per cell. As for the spin magnetization: 0.0 Bohr magnetons per cell.

It has space group F-43m (No. 216), with a = 7.1690 Å, b = 7.1690 Å, c = 7.1690 Å, α = 90.00°, β = 90.00° and γ = 90.00°. The inequivalent atoms are Th at (0.0000, 0.0000, 0.0000), Hg at (0.2500, 0.2500, 0.7500) and Sb at (0.0000, 0.0000, 0.5000).

---

Stability check: which of them is least stable? *ii*.

---

*i*
TmHgSb | PBE | relaxed

The value obtained for the volume is 372 Å³ per cell. As for the spin magnetization: 0.1 Bohr magnetons per cell.

It has space group F-43m (No. 216), with a = 7.1931 Å, b = 7.1931 Å, c = 7.1931 Å, α = 90.00°, β = 90.00° and γ = 90.00°. The inequivalent atoms are Tm at (0.0000, 0.0000, 0.0000), Hg at (0.0000, 0.0000, 0.5000) and Sb at (0.2500, 0.2500, 0.7500).

---

*ii*
TmHgSb | PBE | relaxed

The value obtained for the volume is 365 Å³ per cell. As for the spin magnetization: 0.0 Bohr magnetons per cell.

It has space group F-43m (No. 216), with a = 7.1454 Å, b = 7.1454 Å, c = 7.1454 Å, α = 90.00°, β = 90.00° and γ = 90.00°. The inequivalent atoms are Tm at (0.0000, 0.0000, 0.0000), Hg at (0.2500, 0.2500, 0.7500) and Sb at (0.2500, 0.2500, 0.2500).

---

Stability check: which of them is least stable? *i*.

---

*i*
UHgSb | PBE | relaxed

The value obtained for the volume is 379 Å³ per cell. As for the spin magnetization: 11.9 Bohr magnetons per cell.

It has space group F-43m (No. 216), with a = 7.2370 Å, b = 7.2370 Å, c = 7.2370 Å, α = 90.00°, β = 90.00° and γ = 90.00°. The inequivalent atoms are U at (0.0000, 0.0000, 0.0000), Hg at (0.2500, 0.2500, 0.7500) and Sb at (0.2500, 0.2500, 0.2500).

---

*ii*
UHgSb | PBE | relaxed

The value obtained for the volume is 353 Å³ per cell. As for the spin magnetization: 11.9 Bohr magnetons per cell.

It has space group F-43m (No. 216), with a = 7.0681 Å, b = 7.0681 Å, c = 7.0681 Å, α = 90.00°, β = 90.00° and γ = 90.00°. The inequivalent atoms are U at (0.0000, 0.0000, 0.0000), Hg at (0.2500, 0.2500, 0.7500) and Sb at (0.0000, 0.0000, 0.5000).

---

Stability check: which of them is least stable? *ii*.

---

*i*
ScTlHgTe3 | PBE | relaxed

The value obtained for the volume is 740 Å³ per cell. As for the spin magnetization: 0.0 Bohr magnetons per cell.

It has space group Cmcm (No. 63), with a = 4.2656 Å, b = 15.3740 Å, c = 11.2796 Å, α = 90.00°, β = 90.00° and γ = 90.00°. The inequivalent atoms are Sc at (0.0000, 0.0000, 0.0000), Tl at (0.0000, 0.2375, 0.2500), Hg at (0.0000, 0.4557, 0.7500), Te at (0.0000, 0.0800, 0.7500) and Te at (0.0000, 0.3659, 0.5349).

---

*ii*
ScTlHgTe3 | PBE | relaxed

The value obtained for the volume is 763 Å³ per cell. As for the spin magnetization: 0.0 Bohr magnetons per cell.

It has space group Pnma (No. 62), with a = 13.0495 Å, b = 4.3659 Å, c = 13.3877 Å, α = 90.00°, β = 90.00° and γ = 90.00°. The inequivalent atoms are Sc at (0.0394, 0.2500, 0.1699), Tl at (0.1534, 0.2500, 0.4935), Hg at (0.2497, 0.2500, 0.8044), Te at (0.0295, 0.7500, 0.3251), Te at (0.0795, 0.2500, 0.9326) and Te at (0.2424, 0.7500, 0.6614).

---

Stability check: which of them is least stable? *ii*.